Entry 1:
This record from Alexandria via LeMat-Bulk describes a relaxed structure of MnInIr. The functional is GGA-PBE.

Cell and atoms, written as POSCAR:
```
MnInIr
1.0
-3.583 -3.813 3.012
-1.203 -5.329 2.569
0.751 0.380 2.729
In Ir Mn
1 1 1
direct
0.004 0.004 0.996 In
0.315 0.315 0.685 Ir
0.681 0.681 0.319 Mn
```

Entry 2:
This record from Alexandria via LeMat-Bulk describes a relaxed structure of ScPa4N5. The functional is GGA-PBE.

Calculated values
Energy relative to the elements, uncorrected (eV/atom): -1.652

Cell and atoms, written as POSCAR:
```
ScPa4N5
1.0
-2.939 2.632 2.892
-0.154 -1.863 5.676
2.685 4.635 2.648
Sc Pa N
1 4 5
direct
0.001 0.000 0.000 Sc
0.400 0.400 0.802 Pa
0.800 0.802 0.600 Pa
0.202 0.198 0.400 Pa
0.602 0.600 0.198 Pa
0.903 0.387 0.808 N
0.290 0.808 0.613 N
0.712 0.192 0.387 N
0.099 0.613 0.192 N
0.501 0.000 0.000 N
```

Entry 3:
This record from Alexandria via LeMat-Bulk describes a relaxed structure of Sr3NbIr. The functional is GGA-PBE.

Cell and atoms, written as POSCAR:
```
Sr3NbIr
1.0
5.774 0.000 0.000
0.000 5.774 0.000
0.000 0.000 5.774
Sr Nb Ir
3 1 1
direct
0.000 0.500 0.000 Sr
0.000 0.000 0.500 Sr
0.500 0.000 0.000 Sr
0.500 0.500 0.500 Nb
0.000 0.000 0.000 Ir
```

Entry 4:
This record from Alexandria via LeMat-Bulk describes a relaxed structure of ZnCdRe2. The functional is GGA-PBE.

Cell and atoms, written as POSCAR:
```
ZnCdRe2
1.0
-4.504 -0.612 0.947
0.605 -2.185 1.463
0.666 2.242 4.621
Cd Re Zn
1 2 1
direct
0.500 0.750 0.750 Cd
0.000 0.999 0.013 Re
0.000 0.501 0.487 Re
0.500 0.250 0.250 Zn
```

no.,volume (Å³ per atom),VASP energy (eV per cell)
1,15.5,-20.531
2,14.5,-102.462
3,38.5,-20.543
4,16.0,-24.970